The following is a DFT calculation (GGA+U) of a relaxed KVO3 crystal.

Cell: 5.359 5.782 10.909 Å, 90.00 90.00 90.00°
Atoms (fractional coordinates):
V: 0.518 0.750 0.661
V: 0.482 0.750 0.161
V: 0.482 0.250 0.339
V: 0.518 0.250 0.839
O: 0.170 0.750 0.147
O: 0.409 0.500 0.750
O: 0.382 0.250 0.976
O: 0.591 0.000 0.250
O: 0.618 0.750 0.024
O: 0.618 0.250 0.476
O: 0.170 0.250 0.353
O: 0.382 0.750 0.524
O: 0.409 0.000 0.750
O: 0.830 0.250 0.853
O: 0.830 0.750 0.647
O: 0.591 0.500 0.250
K: 0.943 0.250 0.106
K: 0.943 0.750 0.394
K: 0.057 0.250 0.606
K: 0.057 0.750 0.894

## Properties
Raw total energy = -6.68 eV per atom

The following is a DFT calculation (GGA+U) of a relaxed K2VW3O12 crystal.

Cell: 7.274 7.274 7.274 Å, 60.88 60.88 60.88°
Atoms (fractional coordinates):
O: 0.315 0.315 0.942
O: 0.685 0.685 0.058
O: 0.060 0.689 0.060
O: 0.060 0.060 0.689
O: 0.942 0.315 0.315
O: 0.685 0.058 0.685
O: 0.315 0.942 0.315
O: 0.940 0.311 0.940
O: 0.940 0.940 0.311
O: 0.689 0.060 0.060
O: 0.058 0.685 0.685
O: 0.311 0.940 0.940
K: 0.641 0.641 0.641
K: 0.359 0.359 0.359
W: 0.000 0.000 0.500
W: 0.500 0.000 0.000
W: 0.000 0.500 0.000
V: 0.000 0.000 0.000

## Properties
Raw total energy = -7.07 eV per atom

no.,D(E_F) (states/eV per cell)
1,0.0
2,6.9